This record from Alexandria via LeMat-Bulk describes Sr2TiMnO5 after structural relaxation. The functional is GGA+U.

Calculated values
**Space group**: No. 46
**Total energy**: -7.528 eV per atom

Geometry as POSCAR:
```
Sr2TiMnO5
1.0
-8.003 2.845 2.810
8.003 -2.845 2.810
8.003 2.845 -2.810
Sr Ti Mn O
4 2 2 10
Direct
0.013 0.112 0.125
0.013 0.388 0.401
0.987 0.612 0.599
0.987 0.888 0.875
0.497 0.497 0.000
0.497 0.997 0.500
0.411 0.722 0.189
0.534 0.222 0.811
0.007 0.357 0.149
0.019 0.271 0.764
0.019 0.756 0.248
0.208 0.857 0.851
0.490 0.150 0.587
0.490 0.403 0.840
0.508 0.256 0.236
0.508 0.771 0.752
0.563 0.650 0.160
0.563 0.903 0.413
```